DFT (PBE-GGA) results for a geometry-optimized CsKHgCl structure.

**N(E_F)**: 0.93 states/eV per atom
**Energy**: -7.42 eV for the cell shown
**Total magnetic moment**: 0.14 μB/atom

Cell: 6.1585 6.1585 6.1585 Å, 60.00 60.00 60.00°
Positions (direct):
K 0.7500 0.7500 0.7500
Cl 0.0000 0.0000 0.0000
Cs 0.2500 0.2500 0.2500
Hg 0.5000 0.5000 0.5000